Cs3PdCl5 (GGA-PBE, relaxed); volume = 672.77 Å³/cell; mass density = 3.37 g/cm3; E above lowest polymorph = 0.000 eV/atom; magnetic moment = 0.013 μB/atom; DFT total energy = -3.40 eV/atom
1.0
9.2784 0.0000 0.0000
0.0000 9.2784 0.0000
0.0000 0.0000 7.8150
Cs Pd Cl
6 2 10
Direct
0.0000 0.0000 0.0000
0.1710 0.3290 0.5000
0.3290 0.8290 0.5000
0.5000 0.5000 0.0000
0.6710 0.1710 0.5000
0.8290 0.6710 0.5000
0.0000 0.5000 0.0000
0.5000 0.0000 0.0000
0.0000 0.0000 0.5000
0.1272 0.6272 0.2077
0.1272 0.6272 0.7923
0.3728 0.1272 0.2077
0.3728 0.1272 0.7923
0.5000 0.5000 0.5000
0.6272 0.8728 0.2077
0.6272 0.8728 0.7923
0.8728 0.3728 0.2077
0.8728 0.3728 0.7923

AcPO4 (GGA-PBE, relaxed); volume = 181.06 Å³/cell; mass density = 5.91 g/cm3; E above lowest polymorph = 0.044 eV/atom; magnetic moment = 0.000 μB/atom; DFT total energy = -7.90 eV/atom
1.0
-3.7255 3.7255 3.2613
3.7255 -3.7255 3.2613
3.7255 3.7255 -3.2613
Ac P O
2 2 8
Direct
0.3750 0.6250 0.7500
0.6250 0.3750 0.2500
0.1250 0.8750 0.2500
0.8750 0.1250 0.7500
0.1452 0.7291 0.4160
0.1869 0.2709 0.9160
0.2709 0.1869 0.4160
0.2709 0.8548 0.0840
0.7291 0.1452 0.9160
0.7291 0.8131 0.5840
0.8131 0.7291 0.0840
0.8548 0.2709 0.5840